Entry 1:
K3NpPa2Se6 | GGA-PBE | optimized geometry

E: -5.984 eV/atom

a = 4.183 Å, b = 9.211 Å, c = 10.106 Å
α = 110.14°, β = 101.94°, γ = 90.00°
Atoms (fractional coordinates):
K1 0.500 0.500 0.000
K2 0.835 0.166 0.670
K3 0.165 0.834 0.330
Np1 0.500 0.000 0.000
Pa1 0.833 0.666 0.666
Pa2 0.167 0.334 0.334
Se1 0.340 0.892 0.681
Se2 0.675 0.563 0.350
Se3 0.660 0.108 0.319
Se4 0.011 0.231 0.022
Se5 0.989 0.769 0.978
Se6 0.325 0.437 0.650



Entry 2:
K4Np3PaSe8 | GGA-PBE | optimized geometry

E: -6.324 eV/atom

a = 8.470 Å, b = 9.140 Å, c = 8.470 Å
α = 117.61°, β = 120.00°, γ = 90.00°
Atoms (fractional coordinates):
K1 0.500 0.000 0.000
K2 0.500 0.000 0.500
K3 0.000 0.000 0.000
K4 0.000 0.000 0.500
Np1 0.500 0.500 0.000
Np2 0.500 0.500 0.500
Np3 0.000 0.500 0.500
Pa1 0.000 0.500 0.000
Se1 0.234 0.708 0.975
Se2 0.234 0.708 0.467
Se3 0.264 0.293 0.529
Se4 0.741 0.708 0.975
Se5 0.259 0.292 0.025
Se6 0.736 0.707 0.471
Se7 0.766 0.292 0.533
Se8 0.766 0.292 0.025



Entry 3:
KNpPaSe4 | GGA-PBE | optimized geometry

E: -6.609 eV/atom

a = 8.707 Å, b = 8.809 Å, c = 8.805 Å
α = 119.99°, β = 90.00°, γ = 119.62°
Atoms (fractional coordinates):
K1 0.876 0.752 0.126
K2 0.124 0.248 0.874
Np1 0.500 0.000 0.500
Np2 0.500 0.000 0.000
Pa1 0.500 0.500 0.500
Pa2 0.000 0.500 0.500
Se1 0.734 0.468 0.697
Se2 0.305 0.048 0.274
Se3 0.743 0.048 0.274
Se4 0.734 0.468 0.271
Se5 0.266 0.532 0.729
Se6 0.695 0.952 0.726
Se7 0.257 0.952 0.726
Se8 0.266 0.532 0.303



Entry 4:
K3Np3PaTe8 | GGA-PBE | optimized geometry

E: -6.000 eV/atom

a = 8.982 Å, b = 8.981 Å, c = 9.861 Å
α = 117.10°, β = 90.00°, γ = 120.00°
Atoms (fractional coordinates):
K1 0.000 0.000 0.000
K2 0.000 0.500 0.000
K3 0.500 0.500 0.000
Np1 0.500 0.000 0.500
Np2 0.500 0.500 0.500
Np3 0.000 0.500 0.500
Pa1 0.000 0.000 0.500
Te1 0.263 0.527 0.290
Te2 0.737 0.473 0.710
Te3 0.767 0.534 0.293
Te4 0.233 0.466 0.707
Te5 0.767 0.026 0.293
Te6 0.233 0.974 0.707
Te7 0.259 0.026 0.293
Te8 0.741 0.974 0.707



Entry 5:
K3NpPa2Te6 | GGA-PBE | optimized geometry

E: -5.427 eV/atom

a = 7.693 Å, b = 7.693 Å, c = 8.816 Å
α = 98.36°, β = 98.36°, γ = 120.00°
Atoms (fractional coordinates):
K1 0.166 0.834 0.500
K2 0.834 0.166 0.500
K3 0.500 0.500 0.500
Np1 0.000 0.000 0.000
Pa1 0.333 0.667 0.000
Pa2 0.667 0.333 0.000
Te1 0.928 0.592 0.785
Te2 0.735 0.735 0.215
Te3 0.072 0.408 0.215
Te4 0.592 0.928 0.785
Te5 0.265 0.265 0.785
Te6 0.408 0.072 0.215



Entry 6:
K2NpPaTe4 | GGA-PBE | optimized geometry

E: -5.567 eV/atom

a = 4.469 Å, b = 7.757 Å, c = 8.755 Å
α = 107.04°, β = 90.00°, γ = 90.00°
Atoms (fractional coordinates):
K1 0.500 0.000 0.500
K2 0.000 0.500 0.500
Np1 0.500 0.500 0.000
Pa1 0.000 0.000 0.000
Te1 0.500 0.235 0.214
Te2 0.500 0.765 0.786
Te3 0.000 0.258 0.787
Te4 0.000 0.742 0.213



Entry 7:
K4Np3PaTe8 | GGA-PBE | optimized geometry

E: -5.758 eV/atom

a = 9.110 Å, b = 9.785 Å, c = 9.105 Å
α = 117.66°, β = 120.02°, γ = 90.00°
Atoms (fractional coordinates):
K1 0.500 0.000 0.000
K2 0.500 0.000 0.500
K3 0.000 0.000 0.000
K4 0.000 0.000 0.500
Np1 0.500 0.500 0.000
Np2 0.500 0.500 0.500
Np3 0.000 0.500 0.500
Pa1 0.000 0.500 0.000
Te1 0.234 0.712 0.977
Te2 0.235 0.711 0.469
Te3 0.262 0.288 0.524
Te4 0.743 0.712 0.977
Te5 0.257 0.288 0.023
Te6 0.738 0.712 0.476
Te7 0.765 0.289 0.531
Te8 0.766 0.288 0.023



Entry 8:
KNpPb2 | GGA-PBE | optimized geometry

Formation energy from the elements: 0.3066 eV/atom
E: -5.057 eV/atom

a = 3.496 Å, b = 3.496 Å, c = 12.553 Å
α = 82.00°, β = 82.00°, γ = 60.00°
Atoms (fractional coordinates):
Np1 0.500 0.500 0.500
Pb1 0.092 0.092 0.725
Pb2 0.908 0.908 0.275
K1 0.000 0.000 0.000



Entry 9:
K3Np3PbS8 | GGA-PBE | optimized geometry

E: -6.513 eV/atom

a = 8.210 Å, b = 8.210 Å, c = 8.724 Å
α = 118.08°, β = 90.00°, γ = 120.00°
Atoms (fractional coordinates):
K1 0.000 0.000 0.000
K2 0.000 0.500 0.000
K3 0.500 0.500 0.000
Np1 0.500 0.000 0.500
Np2 0.500 0.500 0.500
Np3 0.000 0.500 0.500
Pb1 0.000 0.000 0.500
S1 0.267 0.534 0.301
S2 0.733 0.466 0.699
S3 0.754 0.509 0.301
S4 0.246 0.491 0.699
S5 0.754 0.047 0.301
S6 0.246 0.953 0.699
S7 0.292 0.047 0.301
S8 0.708 0.953 0.699



Entry 10:
K2NpPbS4 | GGA-PBE | optimized geometry

E: -5.575 eV/atom

a = 4.168 Å, b = 7.665 Å, c = 7.351 Å
α = 72.10°, β = 90.00°, γ = 90.00°
Atoms (fractional coordinates):
K1 0.000 0.000 0.000
K2 0.500 0.000 0.500
Np1 0.000 0.500 0.500
Pb1 0.500 0.500 0.000
S1 0.000 0.707 0.734
S2 0.000 0.293 0.266
S3 0.500 0.701 0.288
S4 0.500 0.299 0.712



Entry 11:
K3Np2PbS6 | GGA-PBE | optimized geometry

E: -6.069 eV/atom

a = 7.206 Å, b = 7.206 Å, c = 7.714 Å
α = 99.00°, β = 99.00°, γ = 119.98°
Atoms (fractional coordinates):
K1 0.160 0.840 0.500
K2 0.840 0.160 0.500
K3 0.500 0.500 0.500
Np1 0.333 0.667 0.000
Np2 0.667 0.333 0.000
Pb1 0.000 0.000 0.000
S1 0.931 0.572 0.796
S2 0.709 0.709 0.203
S3 0.069 0.428 0.204
S4 0.572 0.931 0.796
S5 0.291 0.291 0.797
S6 0.428 0.069 0.204



Entry 12:
K4Np3PbS8 | GGA-PBE | optimized geometry

E: -6.284 eV/atom

a = 8.316 Å, b = 8.748 Å, c = 8.316 Å
α = 118.39°, β = 120.00°, γ = 90.00°
Atoms (fractional coordinates):
K1 0.500 0.000 0.000
K2 0.500 0.000 0.500
K3 0.000 0.000 0.000
K4 0.000 0.000 0.500
Np1 0.500 0.500 0.000
Np2 0.500 0.500 0.500
Np3 0.000 0.500 0.500
Pb1 0.000 0.500 0.000
S1 0.245 0.703 0.958
S2 0.245 0.703 0.489
S3 0.267 0.301 0.534
S4 0.713 0.703 0.958
S5 0.287 0.297 0.042
S6 0.733 0.699 0.466
S7 0.755 0.297 0.511
S8 0.755 0.297 0.042



Entry 13:
K2Np3PbS8 | GGA-PBE | optimized geometry

E: -6.726 eV/atom

a = 8.134 Å, b = 8.134 Å, c = 8.914 Å
α = 62.86°, β = 62.86°, γ = 60.00°
Atoms (fractional coordinates):
K1 0.132 0.132 0.604
K2 0.498 0.498 0.507
Np1 0.498 0.003 0.002
Np2 0.003 0.498 0.002
Np3 0.498 0.498 0.002
Pb1 0.884 0.884 0.349
S1 0.270 0.270 0.191
S2 0.726 0.726 0.822
S3 0.243 0.243 0.819
S4 0.694 0.243 0.819
S5 0.243 0.694 0.819
S6 0.759 0.287 0.195
S7 0.287 0.759 0.195
S8 0.759 0.759 0.195



Entry 14:
K4Np3PbSe8 | GGA-PBE | optimized geometry

E: -5.858 eV/atom

a = 8.650 Å, b = 9.109 Å, c = 8.651 Å
α = 118.34°, β = 120.00°, γ = 90.00°
Atoms (fractional coordinates):
K1 0.500 0.000 0.000
K2 0.500 0.000 0.500
K3 0.000 0.000 0.000
K4 0.000 0.000 0.500
Np1 0.500 0.500 0.000
Np2 0.500 0.500 0.500
Np3 0.000 0.500 0.500
Pb1 0.000 0.500 0.000
Se1 0.245 0.707 0.962
Se2 0.245 0.707 0.489
Se3 0.266 0.297 0.531
Se4 0.718 0.707 0.962
Se5 0.282 0.293 0.038
Se6 0.734 0.703 0.469
Se7 0.755 0.293 0.511
Se8 0.755 0.293 0.038



Entry 15:
K2Np3PbSe8 | GGA-PBE | optimized geometry

E: -6.208 eV/atom

a = 8.473 Å, b = 8.473 Å, c = 9.307 Å
α = 62.92°, β = 62.92°, γ = 60.00°
Atoms (fractional coordinates):
K1 0.134 0.134 0.599
K2 0.497 0.497 0.508
Np1 0.498 0.003 0.001
Np2 0.003 0.498 0.001
Np3 0.498 0.498 0.001
Pb1 0.882 0.882 0.354
Se1 0.269 0.269 0.194
Se2 0.728 0.728 0.815
Se3 0.242 0.242 0.816
Se4 0.700 0.242 0.816
Se5 0.242 0.700 0.816
Se6 0.758 0.285 0.200
Se7 0.285 0.758 0.200
Se8 0.758 0.758 0.200



Entry 16:
K3Np2PbSe6 | GGA-PBE | optimized geometry

E: -5.649 eV/atom

a = 7.492 Å, b = 7.492 Å, c = 8.027 Å
α = 98.98°, β = 98.98°, γ = 119.99°
Atoms (fractional coordinates):
K1 0.160 0.840 0.500
K2 0.840 0.160 0.500
K3 0.500 0.500 0.500
Np1 0.333 0.667 0.000
Np2 0.667 0.333 0.000
Pb1 0.000 0.000 0.000
Se1 0.930 0.575 0.792
Se2 0.714 0.714 0.206
Se3 0.070 0.425 0.208
Se4 0.575 0.930 0.792
Se5 0.286 0.286 0.794
Se6 0.425 0.070 0.208



Entry 17:
K3Np2Te6Pb | GGA-PBE | optimized geometry

E: -5.156 eV/atom

a = 8.005 Å, b = 8.005 Å, c = 8.579 Å
α = 98.96°, β = 98.96°, γ = 119.99°
Atoms (fractional coordinates):
K1 0.160 0.840 0.500
K2 0.840 0.160 0.500
K3 0.500 0.500 0.500
Np1 0.333 0.667 0.000
Np2 0.667 0.333 0.000
Te1 0.929 0.579 0.789
Te2 0.720 0.720 0.209
Te3 0.071 0.421 0.211
Te4 0.579 0.929 0.789
Te5 0.280 0.280 0.791
Te6 0.421 0.071 0.211
Pb1 0.000 0.000 0.000



Entry 18:
K3NpTe6Pb2 | GGA-PBE | optimized geometry

E: -4.281 eV/atom

a = 8.078 Å, b = 8.078 Å, c = 8.539 Å
α = 99.11°, β = 99.11°, γ = 120.00°
Atoms (fractional coordinates):
K1 0.175 0.825 0.500
K2 0.825 0.175 0.500
K3 0.500 0.500 0.500
Np1 0.000 0.000 0.000
Te1 0.930 0.620 0.790
Te2 0.762 0.762 0.211
Te3 0.070 0.380 0.210
Te4 0.620 0.930 0.790
Te5 0.238 0.238 0.789
Te6 0.380 0.070 0.210
Pb1 0.335 0.665 0.000
Pb2 0.665 0.335 0.000



Entry 19:
KNpTe3Pb | GGA-PBE | optimized geometry

E: -5.183 eV/atom

a = 4.565 Å, b = 9.574 Å, c = 11.090 Å
α = 103.64°, β = 90.00°, γ = 90.00°
Atoms (fractional coordinates):
K1 0.750 0.813 0.781
K2 0.250 0.187 0.219
Np1 0.250 0.644 0.156
Np2 0.750 0.356 0.844
Te1 0.250 0.648 0.440
Te2 0.750 0.879 0.175
Te3 0.750 0.418 0.131
Te4 0.750 0.352 0.560
Te5 0.250 0.582 0.869
Te6 0.250 0.121 0.825
Pb1 0.250 0.140 0.557
Pb2 0.750 0.860 0.443



Entry 20:
K3Np2PdS6 | GGA-PBE | optimized geometry

E: -6.074 eV/atom

a = 6.870 Å, b = 6.870 Å, c = 7.691 Å
α = 98.37°, β = 98.37°, γ = 120.26°
Atoms (fractional coordinates):
K1 0.160 0.840 0.500
K2 0.840 0.160 0.500
K3 0.500 0.500 0.500
Np1 0.333 0.667 0.000
Np2 0.667 0.333 0.000
Pd1 0.000 0.000 0.000
S1 0.934 0.588 0.799
S2 0.726 0.726 0.196
S3 0.066 0.412 0.201
S4 0.588 0.934 0.799
S5 0.274 0.274 0.804
S6 0.412 0.066 0.201